Record 1
Compound: Ag3IrCl6
Source: OQMD via LeMat-Bulk
Functional: PBE
Structure: relaxed

Structure (POSCAR):
```
Ag3IrCl6
1.0
0.000 4.934 4.934
4.934 0.000 4.934
4.934 4.934 0.000
Ag Ir Cl
3 1 6
direct
0.000 0.000 0.000
0.250 0.250 0.250
0.750 0.750 0.750
0.500 0.500 0.500
0.263 0.263 0.737
0.263 0.737 0.263
0.263 0.737 0.737
0.737 0.263 0.263
0.737 0.263 0.737
0.737 0.737 0.263
```

## Properties
DFT total energy   -30.55 eV for the cell shown



Record 2
Compound: LiAg2IrCl6
Source: OQMD via LeMat-Bulk
Functional: PBE
Structure: relaxed

Structure (POSCAR):
```
LiAg2IrCl6
1.0
0.000 4.782 4.782
4.782 0.000 4.782
4.782 4.782 0.000
Li Ag Ir Cl
1 2 1 6
direct
0.000 0.000 0.000
0.250 0.250 0.250
0.750 0.750 0.750
0.500 0.500 0.500
0.257 0.257 0.743
0.257 0.743 0.257
0.257 0.743 0.743
0.743 0.257 0.257
0.743 0.257 0.743
0.743 0.743 0.257
```

## Properties
DFT total energy   -32.51 eV for the cell shown



Record 3
Compound: NaAg2IrCl6
Source: OQMD via LeMat-Bulk
Functional: PBE
Structure: relaxed

Structure (POSCAR):
```
NaAg2IrCl6
1.0
0.000 4.938 4.938
4.938 0.000 4.938
4.938 4.938 0.000
Na Ag Ir Cl
1 2 1 6
direct
0.000 0.000 0.000
0.250 0.250 0.250
0.750 0.750 0.750
0.500 0.500 0.500
0.265 0.265 0.735
0.265 0.735 0.265
0.265 0.735 0.735
0.735 0.265 0.265
0.735 0.265 0.735
0.735 0.735 0.265
```

## Properties
DFT total energy   -31.80 eV for the cell shown



Record 4
Compound: Rb2AgIrCl6
Source: OQMD via LeMat-Bulk
Functional: PBE
Structure: relaxed

Structure (POSCAR):
```
Rb2AgIrCl6
1.0
3.552 2.051 12.347
-3.552 2.051 12.347
0.000 -4.102 12.347
Rb Ag Ir Cl
4 2 2 12
direct
0.124 0.124 0.124
0.296 0.296 0.296
0.704 0.704 0.704
0.876 0.876 0.876
0.412 0.412 0.412
0.588 0.588 0.588
0.000 0.000 0.000
0.500 0.500 0.500
0.146 0.622 0.622
0.194 0.194 0.725
0.194 0.725 0.194
0.275 0.806 0.806
0.378 0.378 0.854
0.378 0.854 0.378
0.622 0.146 0.622
0.622 0.622 0.146
0.725 0.194 0.194
0.806 0.275 0.806
0.806 0.806 0.275
0.854 0.378 0.378
```

## Properties
DFT total energy   -70.95 eV for the cell shown



Record 5
Compound: K2Ag2Cl5
Source: OQMD via LeMat-Bulk
Functional: PBE
Structure: relaxed

Structure (POSCAR):
```
K2Ag2Cl5
1.0
5.025 0.000 0.000
0.000 5.025 0.000
0.000 0.000 10.141
K Ag Cl
2 2 5
direct
0.000 0.000 0.000
0.000 0.000 0.500
0.500 0.500 0.233
0.500 0.500 0.767
0.000 0.500 0.201
0.000 0.500 0.799
0.500 0.000 0.201
0.500 0.000 0.799
0.500 0.500 0.500
```

## Properties
DFT total energy   -27.07 eV for the cell shown



Record 6
Compound: K2NbAgCl6
Source: OQMD via LeMat-Bulk
Functional: PBE
Structure: relaxed

Structure (POSCAR):
```
K2NbAgCl6
1.0
0.000 5.159 5.159
5.159 0.000 5.159
5.159 5.159 0.000
K Nb Ag Cl
2 1 1 6
direct
0.250 0.250 0.250
0.750 0.750 0.750
0.000 0.000 0.000
0.500 0.500 0.500
0.241 0.241 0.759
0.241 0.759 0.241
0.241 0.759 0.759
0.759 0.241 0.241
0.759 0.241 0.759
0.759 0.759 0.241
```

## Properties
Energy above the lowest structure with this stoichiometry   0.21 eV per formula unit



Q: Which formula does entry 2 have?
A: LiAg2IrCl6